Crystalline TlAg4Pt at its relaxed geometry. Source: Alexandria, functional PBE.

Values from the calculation:
The value obtained for the theoretical density is 11.70 g/cm3. The value obtained for the density of states at the Fermi level is 2.874 states/eV/cell. The value obtained for the total DFT energy (no corrections) is -3.06 eV per atom.

Cell lengths 5.504, 5.504, 5.504 Å; angles 60.00, 60.00, 60.00 degrees
Fractional coordinates of all 6 atoms:
Pt 0.750 0.750 0.750
Ag 0.874 0.375 0.375
Ag 0.375 0.874 0.375
Ag 0.375 0.375 0.375
Ag 0.375 0.375 0.874
Tl 0.000 0.000 0.000

Crystalline TlAg2Pt at its relaxed geometry. Source: Alexandria, functional PBE.

Values from the calculation:
The value obtained for the theoretical density is 13.59 g/cm3. The value obtained for the density of states at the Fermi level is 2.075 states/eV/cell. For the energy above the lowest structure with this stoichiometry, the calculation gives 9 meV per atom. The value obtained for the total DFT energy (no corrections) is -3.47 eV per atom.

Cell lengths 5.395, 5.395, 5.395 Å; angles 135.84, 135.84, 64.22 degrees
Fractional coordinates of all 4 atoms:
Ag 0.000 0.000 0.000
Ag 0.500 0.500 0.000
Pt 0.250 0.750 0.500
Tl 0.750 0.250 0.500

Crystalline TlAgPt at its relaxed geometry. Source: Alexandria, functional PBE.

Values from the calculation:
The value obtained for the theoretical density is 14.23 g/cm3. The value obtained for the density of states at the Fermi level is 1.545 states/eV/cell. For the energy above the lowest structure with this stoichiometry, the calculation gives 95 meV per atom. The value obtained for the total DFT energy (no corrections) is -3.63 eV per atom.

Cell lengths 3.021, 4.810, 8.147 Å; angles 90.00, 90.00, 90.00 degrees
Fractional coordinates of all 6 atoms:
Tl 0.000 0.500 0.670
Tl 0.500 0.000 0.170
Ag 0.000 0.000 0.483
Ag 0.500 0.500 0.983
Pt 0.000 0.000 0.860
Pt 0.500 0.500 0.360

Crystalline Tl2Ag2Pt at its relaxed geometry. Source: Alexandria, functional PBE.

Values from the calculation:
The value obtained for the theoretical density is 12.07 g/cm3. The value obtained for the density of states at the Fermi level is 4.778 states/eV/cell. For the energy above the lowest structure with this stoichiometry, the calculation gives 0 meV per atom. The value obtained for the total DFT energy (no corrections) is -3.07 eV per atom.

Cell lengths 7.097, 7.097, 4.477 Å; angles 90.00, 90.00, 90.00 degrees
Fractional coordinates of all 10 atoms:
Ag 0.639 0.139 0.000
Ag 0.361 0.861 0.000
Ag 0.139 0.361 0.000
Ag 0.861 0.639 0.000
Tl 0.825 0.325 0.500
Tl 0.325 0.175 0.500
Tl 0.675 0.825 0.500
Tl 0.175 0.675 0.500
Pt 0.000 0.000 0.000
Pt 0.500 0.500 0.000

Crystalline TlAgPt2 at its relaxed geometry. Source: Alexandria, functional PBE.

Values from the calculation:
The value obtained for the theoretical density is 16.46 g/cm3. The value obtained for the density of states at the Fermi level is 0.952 states/eV/cell. The value obtained for the total DFT energy (no corrections) is -4.34 eV per atom.

Cell lengths 4.978, 4.978, 4.978 Å; angles 129.82, 129.93, 73.60 degrees
Fractional coordinates of all 4 atoms:
Pt 0.000 0.000 0.000
Pt 0.500 0.500 0.000
Tl 0.750 0.250 0.500
Ag 0.250 0.750 0.500

Crystalline TlAgPt at its relaxed geometry. Source: Alexandria, functional PBE.

Values from the calculation:
The value obtained for the theoretical density is 12.83 g/cm3. The value obtained for the density of states at the Fermi level is 6.317 states/eV/cell. For the energy above the lowest structure with this stoichiometry, the calculation gives 0 meV per atom. The value obtained for the total DFT energy (no corrections) is -3.72 eV per atom.

Cell lengths 5.516, 7.161, 7.161 Å; angles 76.83, 76.40, 76.40 degrees
Fractional coordinates of all 12 atoms:
Ag 0.899 0.326 0.075
Ag 0.101 0.674 0.925
Ag 0.101 0.175 0.425
Ag 0.899 0.825 0.575
Tl 0.411 0.531 0.281
Tl 0.588 0.969 0.219
Tl 0.412 0.031 0.781
Tl 0.589 0.469 0.719
Pt 0.120 0.921 0.171
Pt 0.121 0.421 0.671
Pt 0.879 0.579 0.329
Pt 0.880 0.079 0.829

Crystalline TlAgPt2 at its relaxed geometry. Source: Alexandria, functional PBE.

Values from the calculation:
The value obtained for the theoretical density is 15.94 g/cm3. The value obtained for the density of states at the Fermi level is 1.692 states/eV/cell. The value obtained for the total DFT energy (no corrections) is -4.27 eV per atom.

Cell lengths 5.384, 5.384, 4.933 Å; angles 75.79, 75.79, 31.95 degrees
Fractional coordinates of all 4 atoms:
Ag 0.731 0.731 0.812
Pt 0.269 0.269 0.292
Pt 0.980 0.980 0.954
Tl 0.521 0.521 0.442

Crystalline TlAg2Pt at its relaxed geometry. Source: Alexandria, functional PBE.

Values from the calculation:
The value obtained for the theoretical density is 13.12 g/cm3. The value obtained for the density of states at the Fermi level is 2.675 states/eV/cell. For the energy above the lowest structure with this stoichiometry, the calculation gives 115 meV per atom. The value obtained for the total DFT energy (no corrections) is -3.36 eV per atom.

Cell lengths 9.731, 9.731, 9.731 Å; angles 18.12, 18.12, 18.12 degrees
Fractional coordinates of all 4 atoms:
Ag 0.248 0.248 0.248
Ag 0.994 0.994 0.994
Pt 0.503 0.503 0.503
Tl 0.755 0.755 0.755

What is the total DFT energy (no corrections) in the fourth record?
-3.07 eV per atom